# 1
Y2ZnPt PBEsol optimized geometry; DOS at the Fermi energy = 3.09 states/eV/f.u.
1.0
-1.7586 2.3102 5.2579
1.7586 -2.3102 5.2579
1.7586 2.3102 -5.2579
Y Zn Pt
2 1 1
direct
0.0000 0.0000 0.0000
0.7171 0.2171 0.5000
0.2925 0.7925 0.5000
0.4843 0.4843 0.0000

# 2
YZr2Pt PBEsol optimized geometry; E above lowest polymorph = 0.103 eV/atom; DOS at the Fermi energy = 6.13 states/eV/f.u.
1.0
-2.0835 2.0835 4.7690
2.0835 -2.0835 4.7690
2.0835 2.0835 -4.7690
Y Zr Pt
1 2 1
direct
0.0000 0.0000 0.0000
0.5000 0.5000 0.0000
0.7500 0.2500 0.5000
0.2500 0.7500 0.5000

# 3
YZr2Pt PBEsol optimized geometry; E above lowest polymorph = 0.000 eV/atom; DOS at the Fermi energy = 5.45 states/eV/f.u.
1.0
3.5277 0.0000 0.0000
0.0000 4.6068 0.0000
0.0000 0.0000 5.0878
Y Zr Pt
1 2 1
direct
0.0000 0.0000 0.0000
0.0000 0.5000 0.5000
0.5000 0.0000 0.5000
0.5000 0.5000 0.0000

# 4
YZr2Pt PBEsol optimized geometry; E above lowest polymorph = 0.097 eV/atom; DOS at the Fermi energy = 6.37 states/eV/f.u.
1.0
0.0000 3.4362 3.4362
3.4362 0.0000 3.4362
3.4362 3.4362 0.0000
Y Zr Pt
1 2 1
direct
0.0000 0.0000 0.0000
0.5000 0.5000 0.5000
0.7500 0.7500 0.7500
0.2500 0.2500 0.2500

# 5
Y2ZrPt PBEsol optimized geometry; E above lowest polymorph = 0.228 eV/atom; DOS at the Fermi energy = 3.52 states/eV/f.u.
1.0
1.7492 1.0099 9.2448
-1.7492 1.0099 9.2448
0.0000 -2.0198 9.2448
Y Zr Pt
2 1 1
direct
0.2374 0.2374 0.2374
0.7626 0.7626 0.7626
0.0000 0.0000 0.0000
0.5000 0.5000 0.5000

# 6
Y2ZrPt PBEsol optimized geometry; E above lowest polymorph = 0.000 eV/atom; DOS at the Fermi energy = 2.42 states/eV/f.u.
1.0
-1.7579 2.5304 5.2946
1.7579 -2.5304 5.2946
1.7579 2.5304 -5.2946
Y Zr Pt
2 1 1
direct
0.0000 0.0000 0.0000
0.7103 0.2103 0.5000
0.4181 0.4181 0.0000
0.2237 0.7237 0.5000

# 7
Zn12Pt7 PBEsol optimized geometry; DOS at the Fermi energy = 4.20 states/eV/f.u.
1.0
6.9159 0.0000 0.0000
0.0000 28.7436 0.0000
0.0000 0.0000 2.7558
Zn Pt
24 14
direct
0.1218 0.0714 0.0000
0.1286 0.6433 0.0000
0.1390 0.2160 0.0000
0.1828 0.4917 0.0000
0.2288 0.8008 0.0000
0.2450 0.3988 0.0000
0.2550 0.8988 0.0000
0.2712 0.3008 0.0000
0.3172 0.9917 0.0000
0.3610 0.7160 0.0000
0.3714 0.1433 0.0000
0.3782 0.5714 0.0000
0.6218 0.4286 0.0000
0.6286 0.8567 0.0000
0.6390 0.2840 0.0000
0.6828 0.0083 0.0000
0.7288 0.6992 0.0000
0.7450 0.1012 0.0000
0.7550 0.6012 0.0000
0.7712 0.1992 0.0000
0.8172 0.5083 0.0000
0.8610 0.7840 0.0000
0.8714 0.3567 0.0000
0.8782 0.9286 0.0000
0.0000 0.0000 0.5000
0.0081 0.1443 0.5000
0.0399 0.5672 0.5000
0.0400 0.7193 0.5000
0.4601 0.0672 0.5000
0.4600 0.2193 0.5000
0.4919 0.6443 0.5000
0.5000 0.5000 0.5000
0.5081 0.3557 0.5000
0.5400 0.7807 0.5000
0.5399 0.9328 0.5000
0.9600 0.2807 0.5000
0.9601 0.4328 0.5000
0.9919 0.8557 0.5000

# 8
ZnPt3 PBEsol optimized geometry; DOS at the Fermi energy = 4.90 states/eV/f.u.
1.0
2.7553 0.0000 0.0000
0.0000 2.7553 0.0000
0.0000 0.0000 7.6434
Zn Pt
1 3
direct
0.0000 0.0000 0.0000
0.0000 0.0000 0.5000
0.5000 0.5000 0.2363
0.5000 0.5000 0.7637

Energy of formation from the pure elements? In order: -14.7 -6.5 -8.9 -6.6 -7.0 -12.2 -11.1 -6.2 kcal/mol of atoms.
E? In order: -6.1832 -8.2730 -8.3760 -8.2794 -7.7271 -7.9550 -4.0439 -5.8864 eV/atom.
Ρ? In order: 8.52 9.35 9.37 9.54 7.86 8.18 13.04 18.62 g/cm³.